# TiBr, optimized geometry, DFT PBE
# Energy relative to the elements, uncorrected in kJ/mol of atoms: -45.3
data_TiBr
_cell_length_a 9.5444
_cell_length_b 9.5444
_cell_length_c 3.3966
_cell_angle_alpha 90.00
_cell_angle_beta 90.00
_cell_angle_gamma 120.00
_symmetry_space_group_name_H-M 'P 63/m'
_symmetry_Int_Tables_number 176
_symmetry_space_group_name_Hall '-P 6c'
loop_
_atom_site_label
_atom_site_fract_x
_atom_site_fract_y
_atom_site_fract_z
Ti1 0.1457 0.5176 0.2500
Br1 0.0343 0.7118 0.2500